[1]
Density functional theory data (PBE-GGA) for a relaxed Ho4Mo crystal.

Geometry as POSCAR:
```
Ho4Mo
1.0
5.383 0.000 0.000
0.000 5.383 0.000
0.000 0.000 5.383
Ho Mo
4 1
direct
0.000 0.000 0.000 Ho
0.000 0.500 0.500 Ho
0.500 0.000 0.500 Ho
0.500 0.500 0.000 Ho
0.500 0.500 0.500 Mo
```

For the density of states at the Fermi level, the calculation gives 6.15 states/eV per cell. The total energy comes out at -5.44 eV/atom. As for the crystal system: cubic. As for the energy relative to the elements: 0.3867 eV/atom.

=====

[2]
Density functional theory data (PBE-GGA) for a relaxed HoMo6 crystal.

Geometry as POSCAR:
```
HoMo6
1.0
-3.462 3.462 3.462
3.462 -3.462 3.462
3.462 3.462 -3.462
Ho Mo
1 6
direct
0.000 0.000 0.000 Ho
0.250 0.500 0.750 Mo
0.250 0.750 0.500 Mo
0.500 0.250 0.750 Mo
0.500 0.750 0.250 Mo
0.750 0.250 0.500 Mo
0.750 0.500 0.250 Mo
```

For the density of states at the Fermi level, the calculation gives 9.81 states/eV per cell. The total energy comes out at -8.41 eV/atom. As for the crystal system: cubic. As for the energy relative to the elements: 1.5252 eV/atom.

=====

[3]
Density functional theory data (PBE-GGA) for a relaxed HoMo4 crystal.

Geometry as POSCAR:
```
HoMo4
1.0
4.683 0.000 0.000
0.000 4.683 0.000
0.000 0.000 4.683
Ho Mo
1 4
direct
0.000 0.000 0.000 Ho
0.000 0.000 0.500 Mo
0.000 0.500 0.000 Mo
0.500 0.000 0.000 Mo
0.500 0.500 0.500 Mo
```

For the density of states at the Fermi level, the calculation gives 5.70 states/eV per cell. The total energy comes out at -6.96 eV/atom. As for the crystal system: cubic. As for the energy relative to the elements: 2.6180 eV/atom.

=====

[4]
Density functional theory data (PBE-GGA) for a relaxed Ho2MoN4 crystal.

Geometry as POSCAR:
```
Ho2MoN4
1.0
5.759 0.000 0.000
0.000 5.922 0.000
-1.974 0.000 6.212
Ho Mo N
4 2 8
direct
0.167 0.250 0.027 Ho
0.241 0.250 0.556 Ho
0.759 0.750 0.444 Ho
0.833 0.750 0.973 Ho
0.284 0.750 0.813 Mo
0.716 0.250 0.187 Mo
0.049 0.510 0.751 N
0.049 0.990 0.751 N
0.474 0.750 0.093 N
0.498 0.750 0.652 N
0.502 0.250 0.348 N
0.526 0.250 0.907 N
0.951 0.010 0.249 N
0.951 0.490 0.249 N
```

The total energy comes out at -8.67 eV/atom. The calculation puts the energy relative to the elements, uncorrected at -1058 meV/atom. As for the crystal system: monoclinic.

=====

[5]
Density functional theory data (PBE-GGA) for a relaxed HoMoN2 crystal.

Geometry as POSCAR:
```
HoMoN2
1.0
1.519 0.877 5.914
-1.519 0.877 5.914
0.000 -1.754 5.914
Ho Mo N
1 1 2
direct
0.000 0.000 0.000 Ho
0.830 0.830 0.830 Mo
0.426 0.426 0.426 N
0.570 0.570 0.570 N
```

For the density of states at the Fermi level, the calculation gives 2.22 states/eV per cell. The total energy comes out at -8.83 eV/atom. The calculation puts the energy relative to the elements, uncorrected at -813 meV/atom. As for the crystal system: trigonal.

=====

[6]
Density functional theory data (PBE-GGA) for a relaxed Ho2MoN4 crystal.

Geometry as POSCAR:
```
Ho2MoN4
1.0
0.000 5.172 6.168
3.257 0.000 6.168
3.257 5.172 0.000
Ho Mo N
4 2 8
direct
0.069 0.681 0.069 Ho
0.319 0.931 0.319 Ho
0.681 0.069 0.681 Ho
0.931 0.319 0.931 Ho
0.375 0.375 0.375 Mo
0.625 0.625 0.625 Mo
0.170 0.732 0.343 N
0.255 0.343 0.732 N
0.268 0.830 0.745 N
0.343 0.255 0.170 N
0.657 0.745 0.830 N
0.732 0.170 0.255 N
0.745 0.657 0.268 N
0.830 0.268 0.657 N
```

The total energy comes out at -8.77 eV/atom. The calculation puts the energy relative to the elements, uncorrected at -1156 meV/atom. As for the crystal system: orthorhombic.

=====

[7]
Density functional theory data (PBE-GGA) for a relaxed Ho2Mo3N5 crystal.

Geometry as POSCAR:
```
Ho2Mo3N5
1.0
5.715 -1.553 0.000
5.715 1.553 0.000
-4.857 0.000 6.547
Ho Mo N
2 3 5
direct
0.164 0.164 0.262 Ho
0.836 0.836 0.738 Ho
0.000 0.000 0.500 Mo
0.378 0.378 0.114 Mo
0.622 0.622 0.886 Mo
0.204 0.204 0.792 N
0.410 0.410 0.590 N
0.500 0.500 0.000 N
0.590 0.590 0.410 N
0.796 0.796 0.208 N
```

For the density of states at the Fermi level, the calculation gives 3.67 states/eV per cell. The total energy comes out at -9.25 eV/atom. The calculation puts the energy relative to the elements, uncorrected at -920 meV/atom. As for the crystal system: monoclinic.

=====

[8]
Density functional theory data (PBE-GGA) for a relaxed HoMoN2 crystal.

Geometry as POSCAR:
```
HoMoN2
1.0
5.692 0.000 0.000
0.000 3.195 0.000
0.000 0.000 10.580
Ho Mo N
4 4 8
direct
0.078 0.250 0.146 Ho
0.422 0.750 0.646 Ho
0.578 0.250 0.354 Ho
0.922 0.750 0.854 Ho
0.067 0.750 0.406 Mo
0.433 0.250 0.906 Mo
0.567 0.750 0.094 Mo
0.933 0.250 0.594 Mo
0.165 0.250 0.751 N
0.240 0.750 0.993 N
0.260 0.250 0.493 N
0.335 0.750 0.251 N
0.665 0.250 0.749 N
0.740 0.750 0.507 N
0.760 0.250 0.007 N
0.835 0.750 0.249 N
```

For the density of states at the Fermi level, the calculation gives 2.64 states/eV per cell. The total energy comes out at -9.17 eV/atom. The calculation puts the energy relative to the elements, uncorrected at -1158 meV/atom. As for the crystal system: orthorhombic.

=====

[9]
Density functional theory data (PBE-GGA) for a relaxed NdHoMo2N6 crystal.

Geometry as POSCAR:
```
NdHoMo2N6
1.0
5.678 -4.854 0.000
5.678 4.854 0.000
-2.550 0.000 5.915
Nd Ho Mo N
2 2 4 12
direct
0.093 0.907 0.750 Nd
0.907 0.093 0.250 Nd
0.293 0.707 0.250 Ho
0.707 0.293 0.750 Ho
0.203 0.378 0.789 Mo
0.378 0.203 0.289 Mo
0.622 0.797 0.711 Mo
0.797 0.622 0.211 Mo
0.002 0.772 0.336 N
0.123 0.620 0.853 N
0.228 0.998 0.164 N
0.336 0.365 0.085 N
0.365 0.336 0.585 N
0.380 0.877 0.647 N
0.620 0.123 0.353 N
0.635 0.664 0.415 N
0.664 0.635 0.915 N
0.772 0.002 0.836 N
0.877 0.380 0.147 N
0.998 0.228 0.664 N
```

For the density of states at the Fermi level, the calculation gives 0.00 states/eV per cell. The total energy comes out at -8.95 eV/atom. The calculation puts the energy relative to the elements, uncorrected at -853 meV/atom. As for the crystal system: monoclinic.

=====

[10]
Density functional theory data (PBE-GGA) for a relaxed HoPaMo2N6 crystal.

Geometry as POSCAR:
```
HoPaMo2N6
1.0
5.332 -4.678 0.000
5.332 4.678 0.000
-1.708 0.000 5.739
Ho Pa Mo N
2 2 4 12
direct
0.086 0.914 0.750 Ho
0.914 0.086 0.250 Ho
0.317 0.683 0.250 Pa
0.683 0.317 0.750 Pa
0.198 0.394 0.733 Mo
0.394 0.198 0.233 Mo
0.606 0.802 0.767 Mo
0.802 0.606 0.267 Mo
0.005 0.770 0.351 N
0.123 0.635 0.892 N
0.230 0.995 0.149 N
0.330 0.402 0.483 N
0.365 0.877 0.608 N
0.402 0.330 0.983 N
0.598 0.670 0.017 N
0.635 0.123 0.392 N
0.670 0.598 0.517 N
0.770 0.005 0.851 N
0.877 0.365 0.108 N
0.995 0.230 0.649 N
```

For the density of states at the Fermi level, the calculation gives 8.98 states/eV per cell. The total energy comes out at -9.49 eV/atom. The calculation puts the energy relative to the elements, uncorrected at -918 meV/atom. As for the crystal system: monoclinic.

=====

[11]
Density functional theory data (PBE-GGA) for a relaxed PmHoMo2N6 crystal.

Geometry as POSCAR:
```
PmHoMo2N6
1.0
5.660 -4.839 0.000
5.660 4.839 0.000
-2.520 0.000 5.892
Pm Ho Mo N
2 2 4 12
direct
0.092 0.908 0.750 Pm
0.908 0.092 0.250 Pm
0.292 0.708 0.250 Ho
0.708 0.292 0.750 Ho
0.202 0.378 0.786 Mo
0.378 0.202 0.286 Mo
0.622 0.798 0.714 Mo
0.798 0.622 0.214 Mo
0.001 0.774 0.337 N
0.121 0.621 0.850 N
0.226 0.999 0.163 N
0.337 0.366 0.084 N
0.366 0.337 0.584 N
0.379 0.879 0.650 N
0.621 0.121 0.350 N
0.634 0.663 0.416 N
0.663 0.634 0.916 N
0.774 0.001 0.837 N
0.879 0.379 0.150 N
0.999 0.226 0.663 N
```

For the density of states at the Fermi level, the calculation gives 0.00 states/eV per cell. The total energy comes out at -8.96 eV/atom. The calculation puts the energy relative to the elements, uncorrected at -867 meV/atom. As for the crystal system: monoclinic.

=====

[12]
Density functional theory data (PBE-GGA) for a relaxed PmHoMoN3 crystal.

Geometry as POSCAR:
```
PmHoMoN3
1.0
6.105 0.000 0.000
0.000 3.502 0.000
-2.011 0.000 8.780
Pm Ho Mo N
2 2 2 6
direct
0.149 0.250 0.182 Pm
0.851 0.750 0.818 Pm
0.365 0.250 0.853 Ho
0.635 0.750 0.147 Ho
0.154 0.750 0.575 Mo
0.846 0.250 0.425 Mo
0.019 0.250 0.661 N
0.254 0.750 0.012 N
0.447 0.750 0.698 N
0.553 0.250 0.302 N
0.746 0.250 0.988 N
0.981 0.750 0.339 N
```

For the density of states at the Fermi level, the calculation gives 2.33 states/eV per cell. The total energy comes out at -8.59 eV/atom. The calculation puts the energy relative to the elements, uncorrected at -1069 meV/atom. As for the crystal system: monoclinic.